No. 1
Density functional theory data (GGA-PBEsol) for a geometry-optimized TlTe3Br structure.

Properties
crystal system: cubic

Structure (CIF):
```
data_TlTe3Br
_cell_length_a 5.558
_cell_length_b 5.558
_cell_length_c 5.558
_cell_angle_alpha 90.00
_cell_angle_beta 90.00
_cell_angle_gamma 90.00
_symmetry_space_group_name_H-M 'P m -3 m'
_symmetry_Int_Tables_number 221
_symmetry_space_group_name_Hall '-P 4 2 3'
loop_
_atom_site_label
_atom_site_type_symbol
_atom_site_fract_x
_atom_site_fract_y
_atom_site_fract_z
Tl1 Tl 0.000 0.000 0.000
Te1 Te 0.000 0.500 0.500
Br1 Br 0.500 0.500 0.500
```



No. 2
Density functional theory data (GGA-PBEsol) for a geometry-optimized CdCo2As structure.

Properties
energy relative to the lowest polymorph listed for this composition: 0.464 eV/atom
crystal system: cubic
formation energy from the elements: 190 kJ/mol of formula units

Structure (CIF):
```
data_CdCo2As
_cell_length_a 6.096
_cell_length_b 6.096
_cell_length_c 6.096
_cell_angle_alpha 90.00
_cell_angle_beta 90.00
_cell_angle_gamma 90.00
_symmetry_space_group_name_H-M 'F -4 3 m'
_symmetry_Int_Tables_number 216
_symmetry_space_group_name_Hall 'F -4 2 3'
loop_
_atom_site_label
_atom_site_type_symbol
_atom_site_fract_x
_atom_site_fract_y
_atom_site_fract_z
Cd1 Cd 0.000 0.000 0.000
Co1 Co 0.000 0.000 0.500
Co2 Co 0.250 0.250 0.250
As1 As 0.250 0.250 0.750
```



No. 3
Density functional theory data (GGA-PBEsol) for a geometry-optimized MgSbTe2H structure.

Properties
crystal system: tetragonal

Structure (CIF):
```
data_MgSbTe2H
_cell_length_a 5.415
_cell_length_b 5.415
_cell_length_c 5.344
_cell_angle_alpha 90.00
_cell_angle_beta 90.00
_cell_angle_gamma 90.00
_symmetry_space_group_name_H-M 'P 4/m m m'
_symmetry_Int_Tables_number 123
_symmetry_space_group_name_Hall '-P 4 2'
loop_
_atom_site_label
_atom_site_type_symbol
_atom_site_fract_x
_atom_site_fract_y
_atom_site_fract_z
Mg1 Mg 0.000 0.000 0.000
Sb1 Sb 0.000 0.000 0.500
Te1 Te 0.000 0.500 0.000
H1 H 0.500 0.500 0.500
```



No. 4
Density functional theory data (GGA-PBEsol) for a geometry-optimized PrAgSb2 structure.

Properties
crystal system: tetragonal

Structure (CIF):
```
data_PrAgSb2
_cell_length_a 4.349
_cell_length_b 4.349
_cell_length_c 10.543
_cell_angle_alpha 90.00
_cell_angle_beta 90.00
_cell_angle_gamma 90.00
_symmetry_space_group_name_H-M 'P 4/n m m'
_symmetry_Int_Tables_number 129
loop_
_symmetry_equiv_pos_as_xyz
'x,y,z'
'-x,-y,-z'
'-y+1/2,x,z'
'y+1/2,-x,-z'
'-x+1/2,-y+1/2,z'
'x+1/2,y+1/2,-z'
'y,-x+1/2,z'
'-y,x+1/2,-z'
'x+1/2,-y,-z'
'-x+1/2,y,z'
'-y,-x,-z'
'y,x,z'
'-x,y+1/2,-z'
'x,-y+1/2,z'
'y+1/2,x+1/2,-z'
'-y+1/2,-x+1/2,z'
loop_
_atom_site_label
_atom_site_type_symbol
_atom_site_fract_x
_atom_site_fract_y
_atom_site_fract_z
Pr1 Pr 0.250 0.250 0.240
Ag1 Ag 0.250 0.750 0.500
Sb1 Sb 0.250 0.250 0.673
Sb2 Sb 0.250 0.750 0.000
```



No. 5
Density functional theory data (GGA-PBEsol) for a geometry-optimized AlTc structure.

Properties
energy relative to the lowest polymorph listed for this composition: 0.000 eV/atom
crystal system: tetragonal
formation energy from the elements: -76 kJ/mol of formula units

Structure (CIF):
```
data_AlTc
_cell_length_a 3.056
_cell_length_b 3.056
_cell_length_c 5.943
_cell_angle_alpha 90.00
_cell_angle_beta 90.00
_cell_angle_gamma 90.00
_symmetry_space_group_name_H-M 'P 4/n m m'
_symmetry_Int_Tables_number 129
loop_
_symmetry_equiv_pos_as_xyz
'x,y,z'
'-x,-y,-z'
'-y+1/2,x,z'
'y+1/2,-x,-z'
'-x+1/2,-y+1/2,z'
'x+1/2,y+1/2,-z'
'y,-x+1/2,z'
'-y,x+1/2,-z'
'x+1/2,-y,-z'
'-x+1/2,y,z'
'-y,-x,-z'
'y,x,z'
'-x,y+1/2,-z'
'x,-y+1/2,z'
'y+1/2,x+1/2,-z'
'-y+1/2,-x+1/2,z'
loop_
_atom_site_label
_atom_site_type_symbol
_atom_site_fract_x
_atom_site_fract_y
_atom_site_fract_z
Al1 Al 0.250 0.250 0.133
Tc1 Tc 0.250 0.250 0.632
```



No. 6
Density functional theory data (GGA-PBEsol) for a geometry-optimized Mg3HgSb structure.

Properties
crystal system: cubic

Structure (CIF):
```
data_Mg3HgSb
_cell_length_a 5.360
_cell_length_b 5.360
_cell_length_c 5.360
_cell_angle_alpha 90.00
_cell_angle_beta 90.00
_cell_angle_gamma 90.00
_symmetry_space_group_name_H-M 'P m -3 m'
_symmetry_Int_Tables_number 221
_symmetry_space_group_name_Hall '-P 4 2 3'
loop_
_atom_site_label
_atom_site_type_symbol
_atom_site_fract_x
_atom_site_fract_y
_atom_site_fract_z
Mg1 Mg 0.000 0.000 0.500
Hg1 Hg 0.500 0.500 0.500
Sb1 Sb 0.000 0.000 0.000
```



No. 7
Density functional theory data (GGA-PBEsol) for a geometry-optimized CoW2Cl structure.

Properties
energy relative to the lowest polymorph listed for this composition: 0.000 eV/atom
crystal system: orthorhombic

Structure (CIF):
```
data_CoW2Cl
_cell_length_a 2.721
_cell_length_b 3.257
_cell_length_c 6.723
_cell_angle_alpha 90.00
_cell_angle_beta 90.00
_cell_angle_gamma 90.00
_symmetry_space_group_name_H-M 'P m m m'
_symmetry_Int_Tables_number 47
loop_
_symmetry_equiv_pos_as_xyz
'x,y,z'
'-x,-y,-z'
'-x,-y,z'
'x,y,-z'
'x,-y,-z'
'-x,y,z'
'-x,y,-z'
'x,-y,z'
loop_
_atom_site_label
_atom_site_type_symbol
_atom_site_fract_x
_atom_site_fract_y
_atom_site_fract_z
Co1 Co 0.000 0.000 0.000
W1 W 0.500 0.500 0.204
Cl1 Cl 0.500 0.000 0.500
```



No. 8
Density functional theory data (GGA-PBEsol) for a geometry-optimized Mg2AlAs structure.

Properties
energy relative to the lowest polymorph listed for this composition: 0.045 eV/atom
crystal system: monoclinic
formation energy from the elements: -33 kJ/mol of formula units

Structure (CIF):
```
data_Mg2AlAs
_cell_length_a 3.087
_cell_length_b 4.541
_cell_length_c 5.684
_cell_angle_alpha 90.00
_cell_angle_beta 104.87
_cell_angle_gamma 90.00
_symmetry_space_group_name_H-M 'P 1 m 1'
_symmetry_Int_Tables_number 6
loop_
_symmetry_equiv_pos_as_xyz
'x,y,z'
'x,-y,z'
loop_
_atom_site_label
_atom_site_type_symbol
_atom_site_fract_x
_atom_site_fract_y
_atom_site_fract_z
Mg1 Mg 0.000 0.000 0.000
Mg2 Mg 0.324 0.500 0.662
Al1 Al 0.594 0.500 0.189
As1 As 0.737 0.000 0.482
```



| no. | calculated total energy (Ha/atom) |
| --- | --- |
| 1 | -0.0937 |
| 2 | -0.1820 |
| 3 | -0.0918 |
| 4 | -0.1886 |
| 5 | -0.2966 |
| 6 | -0.0656 |
| 7 | -0.3255 |
| 8 | -0.1192 |